Record 1
The following is a DFT calculation (PBE-GGA) of a geometry-optimized Li2TbZn2Ag2 structure.

Structure (extended XYZ):
```
7
Lattice="3.975 -2.277 0.000 3.975 2.277 0.000 -2.642 0.000 7.357" Properties=species:S:1:pos:R:3 pbc="T T T"
Li 0.004 0.000 3.114
Li 5.304 0.000 4.244
Tb 0.000 0.000 0.000
Zn 2.661 0.000 1.896
Zn 2.647 0.000 5.461
Ag 0.005 0.000 5.729
Ag 5.303 0.000 1.628
```

ΔE_f: -0.217 eV per atom
total magnetization: 0.00 μB per formula unit

Record 2
The following is a DFT calculation (PBE-GGA) of a geometry-optimized RbNbN2 structure.

Structure (extended XYZ):
```
4
Lattice="1.618 0.934 7.333 -1.618 0.934 7.333 0.000 -1.869 7.333" Properties=species:S:1:pos:R:3 pbc="T T T"
Rb 0.000 0.000 0.000
Nb 0.000 0.000 11.000
N 0.000 0.000 2.608
N 0.000 0.000 19.393
```

total magnetization: 0.00 μB per formula unit
energy relative to the elements, uncorrected: -0.252 eV/atom

Record 3
The following is a DFT calculation (PBE-GGA) of a geometry-optimized Y2NiHgPb structure.

Structure (extended XYZ):
```
5
Lattice="5.786 0.000 0.000 0.000 5.786 0.000 0.000 0.000 4.749" Properties=species:S:1:pos:R:3 pbc="T T T"
Y 0.000 2.893 0.000
Y 2.893 0.000 0.000
Ni 0.000 0.000 2.374
Hg 2.893 2.893 2.374
Pb 0.000 0.000 0.000
```

ΔE_f: 0.388 eV per atom
total magnetization: 0.00 μB per formula unit
energy relative to the lowest polymorph listed for this composition: 0.633 eV per atom

> What is the formula in the third record?

Y2NiHgPb

> Which formula does entry 1 have?

Li2TbZn2Ag2